The following is a PBE calculation of a geometry-optimized ZrCuPt4 structure, from Alexandria.

Summary:
M_tot: 0.00 μB per atom
formation enthalpy at 0 K: -0.507 eV/atom
calculated volume: 17.1 A^3/atom

Lattice parameters (Å, degrees): 5.255 5.255 5.255 60.00 60.00 60.00
Atoms (fractional coordinates):
Pt 0.626 0.626 0.626
Zr 0.250 0.250 0.250
Cu 0.000 0.000 0.000
Pt 0.626 0.626 0.123
Pt 0.123 0.626 0.626
Pt 0.626 0.123 0.626

---

The following is a PBE calculation of a geometry-optimized CsRbCa2 structure, from Alexandria.

Summary:
M_tot: 0.00 μB per atom
formation enthalpy at 0 K: 0.324 eV/atom
calculated volume: 64.6 A^3/atom

Lattice parameters (Å, degrees): 7.149 7.149 7.149 60.00 60.00 60.00
Atoms (fractional coordinates):
Ca 0.750 0.750 0.750
Rb 0.000 0.000 0.000
Ca 0.250 0.250 0.250
Cs 0.500 0.500 0.500

---

The following is a PBE calculation of a geometry-optimized LiSmPuSi structure, from Alexandria.

Summary:
M_tot: 1.52 μB per atom
E_form (uncorrected): -61 kJ/mol of formula units
calculated volume: 22.8 A^3/atom

Lattice parameters (Å, degrees): 5.049 5.049 5.049 60.00 60.00 60.00
Atoms (fractional coordinates):
Sm 0.000 0.000 0.000
Pu 0.500 0.500 0.500
Li 0.250 0.250 0.250
Si 0.750 0.750 0.750

---

Record-wise DOS(E_F) values, in states/eV per cell: 4.267 4.978 7.486